Record 1
A plane-wave DFT calculation with PBE was carried out for crystalline ZrBiBrO2 at its relaxed geometry.

Lattice parameters (Å, degrees): 4.205 4.205 5.884 90.00 90.00 90.00
Space group P4/mmm (No. 123)
Asymmetric unit:
Zr: 0.000 0.000 0.000
Bi: 0.500 0.500 0.500
Br: 0.000 0.000 0.500
O: 0.000 0.500 0.000

ΔE_f (raw) = -1.31 eV/atom
VASP energy = -6.1104 eV/atom


Record 2
A plane-wave DFT calculation with PBE was carried out for crystalline Te3PPd at its relaxed geometry.

Lattice parameters (Å, degrees): 5.182 5.182 5.182 90.00 90.00 90.00
Space group Pm-3m (No. 221)
Asymmetric unit:
Te: 0.000 0.000 0.500
P: 0.000 0.000 0.000
Pd: 0.500 0.500 0.500

ΔE_f (raw) = 0.70 eV/atom
VASP energy = -3.3072 eV/atom


Record 3
A plane-wave DFT calculation with PBE was carried out for crystalline Pm2YO at its relaxed geometry.

Lattice parameters (Å, degrees): 3.6570 3.6570 26.6864 90.00 90.00 120.00
Space group R-3m (No. 166, hexagonal axes)
Asymmetric unit:
Pm: 0.0000 0.0000 0.2184
Y: 0.0000 0.0000 0.0000
O: 0.0000 0.0000 0.5000

ΔE_f (raw) = -1.27 eV/atom
VASP energy = -6.5003 eV/atom


Record 4
A plane-wave DFT calculation with PBE was carried out for crystalline TmZr2ScAs4 at its relaxed geometry.

Lattice parameters (Å, degrees): 6.753 3.895 6.843 90.00 109.27 90.00
Space group P2/m (No. 10)
Asymmetric unit:
Tm: 0.000 0.000 0.000
Zr: 0.000 0.500 0.500
Zr: 0.500 0.000 0.500
Sc: 0.500 0.500 0.000
As: 0.254 0.000 0.749
As: 0.256 0.500 0.255

energy relative to the elements = -1.27 eV per atom
VASP energy = -7.0816 eV/atom


Record 5
A plane-wave DFT calculation with PBE was carried out for crystalline Mg5Tl2Pb4 at its relaxed geometry.

Lattice parameters (Å, degrees): 8.094 20.667 3.535 90.00 90.00 90.00
Space group Pbam (No. 55)
Asymmetric unit:
Mg: 0.000 0.000 0.000
Mg: 0.149 0.409 0.000
Mg: 0.185 0.255 0.000
Tl: 0.081 0.682 0.500
Pb: 0.035 0.858 0.500
Pb: 0.192 0.534 0.500

energy relative to the elements = -0.02 eV per atom
VASP energy = -2.5231 eV/atom


Record 6
A plane-wave DFT calculation with PBE was carried out for crystalline SrIr2Au2 at its relaxed geometry.

Lattice parameters (Å, degrees): 4.694 4.694 9.884 90.00 90.00 90.00
Space group I4/mmm (No. 139)
Asymmetric unit:
Sr: 0.000 0.000 0.000
Ir: 0.000 0.000 0.382
Au: 0.000 0.500 0.250

energy relative to the elements = 0.02 eV per atom
VASP energy = -5.1694 eV/atom